# 1
Computed, not measured: a relaxed structure of ScTeAuO at the GGA-PBE level of DFT.

Geometry as CIF:
```
data_ScTeAuO
_symmetry_space_group_name_H-M 'P b c m'
_symmetry_Int_Tables_number 57
_cell_length_a 9.986
_cell_length_b 5.471
_cell_length_c 5.472
_cell_angle_alpha 90.00
_cell_angle_beta 90.00
_cell_angle_gamma 90.00
loop_
_symmetry_equiv_pos_as_xyz
'x,y,z'
'-x,-y,-z'
'-x,-y,z+1/2'
'x,y,-z+1/2'
'x,-y+1/2,-z'
'-x,y+1/2,z'
'-x,y+1/2,-z+1/2'
'x,-y+1/2,z+1/2'
loop_
_atom_site_label
_atom_site_fract_x
_atom_site_fract_y
_atom_site_fract_z
_atom_site_occupancy
Sc1 0.095 0.001 0.250 1
Te1 0.274 0.503 0.250 1
Au1 0.496 0.250 0.000 1
O1 0.000 0.250 0.000 1
```



# 2
Computed, not measured: a relaxed structure of ScTeAuO at the GGA-PBE level of DFT.

Geometry as CIF:
```
data_ScTeAuO
_symmetry_space_group_name_H-M 'P 4/n m m'
_symmetry_Int_Tables_number 129
_cell_length_a 3.869
_cell_length_b 3.869
_cell_length_c 9.984
_cell_angle_alpha 90.00
_cell_angle_beta 90.00
_cell_angle_gamma 90.00
loop_
_symmetry_equiv_pos_as_xyz
'x,y,z'
'-x,-y,-z'
'-y+1/2,x,z'
'y+1/2,-x,-z'
'-x+1/2,-y+1/2,z'
'x+1/2,y+1/2,-z'
'y,-x+1/2,z'
'-y,x+1/2,-z'
'x+1/2,-y,-z'
'-x+1/2,y,z'
'-y,-x,-z'
'y,x,z'
'-x,y+1/2,-z'
'x,-y+1/2,z'
'y+1/2,x+1/2,-z'
'-y+1/2,-x+1/2,z'
loop_
_atom_site_label
_atom_site_fract_x
_atom_site_fract_y
_atom_site_fract_z
_atom_site_occupancy
Sc1 0.250 0.250 0.095 1
Te1 0.250 0.250 0.726 1
Au1 0.250 0.750 0.500 1
O1 0.250 0.750 0.000 1
```



# 3
Computed, not measured: a relaxed structure of ScTeAuO at the GGA-PBE level of DFT.

Geometry as CIF:
```
data_ScTeAuO
_symmetry_space_group_name_H-M 'P 4 b m'
_symmetry_Int_Tables_number 100
_cell_length_a 5.447
_cell_length_b 5.447
_cell_length_c 10.080
_cell_angle_alpha 90.00
_cell_angle_beta 90.00
_cell_angle_gamma 90.00
loop_
_symmetry_equiv_pos_as_xyz
'x,y,z'
'-y,x,z'
'-x,-y,z'
'y,-x,z'
'-x+1/2,y+1/2,z'
'y+1/2,x+1/2,z'
'x+1/2,-y+1/2,z'
'-y+1/2,-x+1/2,z'
loop_
_atom_site_label
_atom_site_fract_x
_atom_site_fract_y
_atom_site_fract_z
_atom_site_occupancy
Sc1 0.000 0.000 0.000 1
Sc2 0.000 0.500 0.188 1
Te1 0.000 0.000 0.369 1
Te2 0.000 0.500 0.824 1
Au1 0.187 0.313 0.587 1
O1 0.248 0.252 0.095 1
```



# 4
Computed, not measured: a relaxed structure of ScTeAuO at the GGA-PBE level of DFT.

Geometry as CIF:
```
data_ScTeAuO
_symmetry_space_group_name_H-M 'P c c a'
_symmetry_Int_Tables_number 54
_cell_length_a 5.364
_cell_length_b 10.228
_cell_length_c 5.484
_cell_angle_alpha 90.00
_cell_angle_beta 90.00
_cell_angle_gamma 90.00
loop_
_symmetry_equiv_pos_as_xyz
'x,y,z'
'-x,-y,-z'
'-x+1/2,-y,z'
'x+1/2,y,-z'
'x+1/2,-y,-z+1/2'
'-x+1/2,y,z+1/2'
'-x,y,-z+1/2'
'x,-y,z+1/2'
loop_
_atom_site_label
_atom_site_fract_x
_atom_site_fract_y
_atom_site_fract_z
_atom_site_occupancy
Sc1 0.000 0.094 0.250 1
Te1 0.000 0.270 0.750 1
Au1 0.250 0.500 0.147 1
O1 0.250 0.000 0.003 1
```



# 5
Computed, not measured: a relaxed structure of ScTeAuO at the GGA-PBE level of DFT.

Geometry as CIF:
```
data_ScTeAuO
_symmetry_space_group_name_H-M 'P m c 21'
_symmetry_Int_Tables_number 26
_cell_length_a 4.669
_cell_length_b 7.602
_cell_length_c 5.626
_cell_angle_alpha 90.00
_cell_angle_beta 90.00
_cell_angle_gamma 90.00
loop_
_symmetry_equiv_pos_as_xyz
'x,y,z'
'-x,-y,z+1/2'
'-x,y,z'
'x,-y,z+1/2'
loop_
_atom_site_label
_atom_site_fract_x
_atom_site_fract_y
_atom_site_fract_z
_atom_site_occupancy
Sc1 0.000 0.137 0.000 1
Te1 0.500 0.323 0.802 1
Au1 0.500 0.310 0.298 1
O1 0.000 0.079 0.329 1
```



# 6
Computed, not measured: a relaxed structure of Au2Se2O7 at the GGA-PBE level of DFT.

Geometry as CIF:
```
data_Au2Se2O7
_symmetry_space_group_name_H-M 'P b a 2'
_symmetry_Int_Tables_number 32
_cell_length_a 6.737
_cell_length_b 11.672
_cell_length_c 3.942
_cell_angle_alpha 90.00
_cell_angle_beta 90.00
_cell_angle_gamma 90.00
loop_
_symmetry_equiv_pos_as_xyz
'x,y,z'
'-x,-y,z'
'-x+1/2,y+1/2,z'
'x+1/2,-y+1/2,z'
loop_
_atom_site_label
_atom_site_fract_x
_atom_site_fract_y
_atom_site_fract_z
_atom_site_occupancy
Au1 0.194 0.066 0.000 1
Se1 0.115 0.326 0.727 1
O1 0.000 0.000 0.330 1
O2 0.033 0.213 0.990 1
O3 0.123 0.628 0.622 1
O4 0.161 0.417 0.070 1
```



# 7
Computed, not measured: a relaxed structure of Au2Se2O7 at the GGA-PBE level of DFT.

Geometry as CIF:
```
data_Au2Se2O7
_symmetry_space_group_name_H-M 'I m m a'
_symmetry_Int_Tables_number 74
_symmetry_space_group_name_Hall '-I 2b 2'
_cell_length_a 6.989
_cell_length_b 10.007
_cell_length_c 7.512
_cell_angle_alpha 90.00
_cell_angle_beta 90.00
_cell_angle_gamma 90.00
loop_
_atom_site_label
_atom_site_fract_x
_atom_site_fract_y
_atom_site_fract_z
_atom_site_occupancy
Au1 0.000 0.000 0.000 1
Au2 0.250 0.250 0.250 1
Se1 0.000 0.000 0.500 1
Se2 0.250 0.250 0.750 1
O1 0.000 0.117 0.240 1
O2 0.000 0.250 0.836 1
O3 0.211 0.116 0.580 1
```



# 8
Computed, not measured: a relaxed structure of Au2Se4O11 at the GGA-PBE level of DFT.

Geometry as CIF:
```
data_Au2Se4O11
_symmetry_space_group_name_H-M 'C 1 2/c 1'
_symmetry_Int_Tables_number 15
_cell_length_a 20.454
_cell_length_b 4.087
_cell_length_c 13.088
_cell_angle_alpha 90.00
_cell_angle_beta 116.01
_cell_angle_gamma 90.00
loop_
_symmetry_equiv_pos_as_xyz
'x,y,z'
'-x,-y,-z'
'-x,y,-z+1/2'
'x,-y,z+1/2'
'x+1/2,y+1/2,z'
'-x+1/2,-y+1/2,-z'
'-x+1/2,y+1/2,-z+1/2'
'x+1/2,-y+1/2,z+1/2'
loop_
_atom_site_label
_atom_site_fract_x
_atom_site_fract_y
_atom_site_fract_z
_atom_site_occupancy
Au1 0.000 0.000 0.000 1
Au2 0.250 0.250 0.000 1
Se1 0.078 0.256 0.256 1
Se2 0.169 0.235 0.597 1
O1 0.000 0.004 0.250 1
O2 0.034 0.378 0.112 1
O3 0.099 0.012 0.002 1
O4 0.132 0.048 0.759 1
O5 0.176 0.405 0.479 1
O6 0.238 0.057 0.136 1
```



# 9
Computed, not measured: a relaxed structure of Au2Se3O10 at the GGA-PBE level of DFT.

Geometry as CIF:
```
data_Au2Se3O10
_symmetry_space_group_name_H-M 'C m c 21'
_symmetry_Int_Tables_number 36
_cell_length_a 16.713
_cell_length_b 6.323
_cell_length_c 8.228
_cell_angle_alpha 90.00
_cell_angle_beta 90.00
_cell_angle_gamma 90.00
loop_
_symmetry_equiv_pos_as_xyz
'x,y,z'
'-x,-y,z+1/2'
'-x,y,z'
'x,-y,z+1/2'
'x+1/2,y+1/2,z'
'-x+1/2,-y+1/2,z+1/2'
'-x+1/2,y+1/2,z'
'x+1/2,-y+1/2,z+1/2'
loop_
_atom_site_label
_atom_site_fract_x
_atom_site_fract_y
_atom_site_fract_z
_atom_site_occupancy
Au1 0.160 0.027 0.000 1
Se1 0.000 0.149 0.345 1
Se2 0.158 0.464 0.624 1
O1 0.000 0.242 0.531 1
O2 0.000 0.312 0.191 1
O3 0.080 0.027 0.817 1
O4 0.151 0.342 0.976 1
O5 0.169 0.285 0.463 1
O6 0.241 0.023 0.183 1
```



# 10
Computed, not measured: a relaxed structure of SmAuSeO at the GGA-PBE level of DFT.

Geometry as CIF:
```
data_SmAuSeO
_symmetry_space_group_name_H-M 'P m c 21'
_symmetry_Int_Tables_number 26
_cell_length_a 4.232
_cell_length_b 5.780
_cell_length_c 6.692
_cell_angle_alpha 90.00
_cell_angle_beta 90.00
_cell_angle_gamma 90.00
loop_
_symmetry_equiv_pos_as_xyz
'x,y,z'
'-x,-y,z+1/2'
'-x,y,z'
'x,-y,z+1/2'
loop_
_atom_site_label
_atom_site_fract_x
_atom_site_fract_y
_atom_site_fract_z
_atom_site_occupancy
Sm1 0.000 0.248 0.000 1
Au1 0.500 0.162 0.618 1
Se1 0.500 0.410 0.301 1
O1 0.000 0.033 0.724 1
```



# 11
Computed, not measured: a relaxed structure of SmAuSeO at the GGA-PBE level of DFT.

Geometry as CIF:
```
data_SmAuSeO
_symmetry_space_group_name_H-M 'P c c a'
_symmetry_Int_Tables_number 54
_cell_length_a 5.722
_cell_length_b 9.562
_cell_length_c 5.740
_cell_angle_alpha 90.00
_cell_angle_beta 90.00
_cell_angle_gamma 90.00
loop_
_symmetry_equiv_pos_as_xyz
'x,y,z'
'-x,-y,-z'
'-x+1/2,-y,z'
'x+1/2,y,-z'
'x+1/2,-y,-z+1/2'
'-x+1/2,y,z+1/2'
'-x,y,-z+1/2'
'x,-y,z+1/2'
loop_
_atom_site_label
_atom_site_fract_x
_atom_site_fract_y
_atom_site_fract_z
_atom_site_occupancy
Sm1 0.000 0.120 0.250 1
Au1 0.250 0.500 0.249 1
Se1 0.000 0.281 0.750 1
O1 0.250 0.000 0.499 1
```



# 12
Computed, not measured: a relaxed structure of SmAuSeO at the GGA-PBE level of DFT.

Geometry as CIF:
```
data_SmAuSeO
_symmetry_space_group_name_H-M 'A e a 2'
_symmetry_Int_Tables_number 41
_cell_length_a 19.164
_cell_length_b 5.729
_cell_length_c 5.743
_cell_angle_alpha 90.00
_cell_angle_beta 90.00
_cell_angle_gamma 90.00
loop_
_symmetry_equiv_pos_as_xyz
'x,y,z'
'-x,-y,z'
'-x+1/2,y+1/2,z'
'x+1/2,-y+1/2,z'
'x,y+1/2,z+1/2'
'-x,-y+1/2,z+1/2'
'-x+1/2,y,z+1/2'
'x+1/2,-y,z+1/2'
loop_
_atom_site_label
_atom_site_fract_x
_atom_site_fract_y
_atom_site_fract_z
_atom_site_occupancy
Sm1 0.060 0.250 0.000 1
Au1 0.250 0.002 0.003 1
Se1 0.141 0.251 0.501 1
O1 0.000 0.000 0.250 1
O2 0.000 0.000 0.750 1
```



# 13
Computed, not measured: a relaxed structure of SmAuSeO at the GGA-PBE level of DFT.

Geometry as CIF:
```
data_SmAuSeO
_symmetry_space_group_name_H-M 'P 4/n m m'
_symmetry_Int_Tables_number 129
_cell_length_a 4.012
_cell_length_b 4.012
_cell_length_c 9.474
_cell_angle_alpha 90.00
_cell_angle_beta 90.00
_cell_angle_gamma 90.00
loop_
_symmetry_equiv_pos_as_xyz
'x,y,z'
'-x,-y,-z'
'-y+1/2,x,z'
'y+1/2,-x,-z'
'-x+1/2,-y+1/2,z'
'x+1/2,y+1/2,-z'
'y,-x+1/2,z'
'-y,x+1/2,-z'
'x+1/2,-y,-z'
'-x+1/2,y,z'
'-y,-x,-z'
'y,x,z'
'-x,y+1/2,-z'
'x,-y+1/2,z'
'y+1/2,x+1/2,-z'
'-y+1/2,-x+1/2,z'
loop_
_atom_site_label
_atom_site_fract_x
_atom_site_fract_y
_atom_site_fract_z
_atom_site_occupancy
Sm1 0.250 0.250 0.123 1
Au1 0.250 0.750 0.500 1
Se1 0.250 0.250 0.713 1
O1 0.250 0.750 0.000 1
```



# 14
Computed, not measured: a relaxed structure of SmAuSeO at the GGA-PBE level of DFT.

Geometry as CIF:
```
data_SmAuSeO
_symmetry_space_group_name_H-M 'P 1 21/c 1'
_symmetry_Int_Tables_number 14
_cell_length_a 7.329
_cell_length_b 6.324
_cell_length_c 6.299
_cell_angle_alpha 90.00
_cell_angle_beta 90.39
_cell_angle_gamma 90.00
loop_
_symmetry_equiv_pos_as_xyz
'x,y,z'
'-x,-y,-z'
'-x,y+1/2,-z+1/2'
'x,-y+1/2,z+1/2'
loop_
_atom_site_label
_atom_site_fract_x
_atom_site_fract_y
_atom_site_fract_z
_atom_site_occupancy
Sm1 0.113 0.005 0.251 1
Au1 0.437 0.209 0.514 1
Se1 0.306 0.526 0.300 1
O1 0.007 0.742 0.000 1
```



# 15
Computed, not measured: a relaxed structure of SmAuSeO at the GGA-PBE level of DFT.

Geometry as CIF:
```
data_SmAuSeO
_symmetry_space_group_name_H-M 'A e m 2'
_symmetry_Int_Tables_number 39
_cell_length_a 9.630
_cell_length_b 5.721
_cell_length_c 5.735
_cell_angle_alpha 90.00
_cell_angle_beta 90.00
_cell_angle_gamma 90.00
loop_
_symmetry_equiv_pos_as_xyz
'x,y,z'
'-x,-y,z'
'-x,y+1/2,z'
'x,-y+1/2,z'
'x,y+1/2,z+1/2'
'-x,-y+1/2,z+1/2'
'-x,y,z+1/2'
'x,-y,z+1/2'
loop_
_atom_site_label
_atom_site_fract_x
_atom_site_fract_y
_atom_site_fract_z
_atom_site_occupancy
Sm1 0.119 0.250 0.000 1
Au1 0.500 0.000 0.001 1
Se1 0.283 0.250 0.501 1
O1 0.000 0.000 0.250 1
```



# 16
Computed, not measured: a relaxed structure of SmAuSeO at the GGA-PBE level of DFT.

Geometry as CIF:
```
data_SmAuSeO
_symmetry_space_group_name_H-M 'P 4/n m m'
_symmetry_Int_Tables_number 129
_cell_length_a 4.017
_cell_length_b 4.017
_cell_length_c 9.390
_cell_angle_alpha 90.00
_cell_angle_beta 90.00
_cell_angle_gamma 90.00
loop_
_symmetry_equiv_pos_as_xyz
'x,y,z'
'-x,-y,-z'
'-y+1/2,x,z'
'y+1/2,-x,-z'
'-x+1/2,-y+1/2,z'
'x+1/2,y+1/2,-z'
'y,-x+1/2,z'
'-y,x+1/2,-z'
'x+1/2,-y,-z'
'-x+1/2,y,z'
'-y,-x,-z'
'y,x,z'
'-x,y+1/2,-z'
'x,-y+1/2,z'
'y+1/2,x+1/2,-z'
'-y+1/2,-x+1/2,z'
loop_
_atom_site_label
_atom_site_fract_x
_atom_site_fract_y
_atom_site_fract_z
_atom_site_occupancy
Sm1 0.250 0.250 0.124 1
Au1 0.250 0.750 0.500 1
Se1 0.250 0.250 0.713 1
O1 0.250 0.750 0.000 1
```



# 17
Computed, not measured: a relaxed structure of SmAuSeO at the GGA-PBE level of DFT.

Geometry as CIF:
```
data_SmAuSeO
_symmetry_space_group_name_H-M 'P 4 m m'
_symmetry_Int_Tables_number 99
_cell_length_a 4.013
_cell_length_b 4.013
_cell_length_c 9.461
_cell_angle_alpha 90.00
_cell_angle_beta 90.00
_cell_angle_gamma 90.00
loop_
_symmetry_equiv_pos_as_xyz
'x,y,z'
'-y,x,z'
'-x,-y,z'
'y,-x,z'
'-x,y,z'
'y,x,z'
'x,-y,z'
'-y,-x,z'
loop_
_atom_site_label
_atom_site_fract_x
_atom_site_fract_y
_atom_site_fract_z
_atom_site_occupancy
Sm1 0.000 0.000 0.000 1
Sm2 0.500 0.500 0.246 1
Au1 0.000 0.500 0.624 1
Se1 0.000 0.000 0.411 1
Se2 0.500 0.500 0.836 1
O1 0.000 0.500 0.123 1
```



Number 1: E -95.946 eV/cell. Number 2: E -47.973 eV/cell. Number 3: E -96.248 eV/cell. Number 4: E -96.516 eV/cell. Number 5: E -46.115 eV/cell. Number 6: E -104.953 eV/cell. Number 7: E -196.411 eV/cell. Number 8: E -334.536 eV/cell. Number 9: E -291.074 eV/cell. Number 10: E -44.221 eV/cell. Number 11: E -95.923 eV/cell. Number 12: E -191.863 eV/cell. Number 13: E -47.275 eV/cell. Number 14: E -92.277 eV/cell. Number 15: E -95.933 eV/cell. Number 16: E -47.267 eV/cell. Number 17: E -47.275 eV/cell.